Record 1
A plane-wave DFT calculation with PBE+U was carried out for crystalline Na3MoO at its relaxed geometry.

a = 5.8203 Å, b = 5.8203 Å, c = 5.8203 Å
α = 90.00°, β = 90.00°, γ = 90.00°
Last column: nearest neighbours and their distance in Å.
Element x y z (fractional)
Na1 0.0000 0.0000 0.5000  2 Mo 2.91
Na2 0.0000 0.5000 0.0000  2 Mo 2.91
Na3 0.5000 0.0000 0.0000  2 Mo 2.91
Mo1 0.0000 0.0000 0.0000  6 Na 2.91
O1 0.5000 0.5000 0.5000  12 Na 4.12

## Properties
**Size of the total moment**: 5.4 μB/f.u.
**DOS at the Fermi energy**: 7.62 states/eV per cell
**ρ**: 1.52 g/cm3

Record 2
A plane-wave DFT calculation with PBE+U was carried out for crystalline Na2Mo2O5 at its relaxed geometry.

a = 8.4326 Å, b = 8.4326 Å, c = 8.4326 Å
α = 57.40°, β = 139.93°, γ = 140.67°
Last column: nearest neighbours and their distance in Å.
Element x y z (fractional)
Na1 0.0263 0.1056 0.1320  4 O 2.31-2.55
Na2 0.0263 0.3944 0.4207  4 O 2.31-2.55
Na3 0.9737 0.6056 0.5793  4 O 2.31-2.55
Na4 0.9737 0.8944 0.8680  4 O 2.31-2.55
Mo1 0.4720 0.4720 0.0000  6 O 2.05-2.15
Mo2 0.4720 0.9720 0.5000  6 O 2.05-2.15
Mo3 0.5003 0.8077 0.1926  4 O 1.91-2.02
Mo4 0.6152 0.3077 0.8074  4 O 1.91-2.02
O1 0.0289 0.6500 0.8790  2 Mo 1.99-2.02
O2 0.3629 0.0915 0.5538  1 Mo 1.91
O3 0.3629 0.3091 0.7714  1 Mo 1.91
O4 0.4756 0.2014 0.2302  2 Mo 2.05
O5 0.4756 0.7454 0.7742  2 Mo 2.05
O6 0.5377 0.5915 0.2286  1 Mo 1.91
O7 0.5377 0.8091 0.4462  1 Mo 1.91
O8 0.7710 0.1500 0.1210  2 Mo 1.99-2.02
O9 0.9713 0.2454 0.7698  2 Mo 2.05
O10 0.9713 0.7014 0.2258  2 Mo 2.05

## Properties
**Size of the total moment**: 4.0 μB/f.u.
**ρ**: 4.35 g/cm3

Record 3
A plane-wave DFT calculation with PBE+U was carried out for crystalline NaMo4O6 at its relaxed geometry.

a = 8.8372 Å, b = 8.8372 Å, c = 3.8097 Å
α = 90.00°, β = 90.00°, γ = 90.00°
Last column: nearest neighbours and their distance in Å.
Element x y z (fractional)
Na1 0.0000 0.0000 0.0000  12 O 2.98-3.29
Na2 0.5000 0.5000 0.0000  12 O 2.98-3.29
Mo1 0.1101 0.3899 0.0000  6 O 2.33-2.50
Mo2 0.2181 0.7181 0.5000  4 O 2.01-2.18
Mo3 0.2819 0.2181 0.5000  4 O 2.01-2.18
Mo4 0.3899 0.8899 0.0000  6 O 2.33-2.50
Mo5 0.6101 0.1101 0.0000  6 O 2.33-2.50
Mo6 0.7181 0.7819 0.5000  4 O 2.01-2.18
Mo7 0.7819 0.2819 0.5000  4 O 2.01-2.18
Mo8 0.8899 0.6101 0.0000  6 O 2.33-2.50
O1 0.0382 0.2558 0.5000  4 Mo 2.18-2.33
O2 0.1666 0.6666 0.0000  2 Mo 2.01
O3 0.2442 0.4618 0.5000  4 Mo 2.18-2.33
O4 0.2558 0.9618 0.5000  4 Mo 2.18-2.33
O5 0.3334 0.1666 0.0000  2 Mo 2.01
O6 0.4618 0.7558 0.5000  4 Mo 2.18-2.33
O7 0.5382 0.2442 0.5000  4 Mo 2.18-2.33
O8 0.6666 0.8334 0.0000  2 Mo 2.01
O9 0.7442 0.0382 0.5000  4 Mo 2.18-2.33
O10 0.7558 0.5382 0.5000  4 Mo 2.18-2.33
O11 0.8334 0.3334 0.0000  2 Mo 2.01
O12 0.9618 0.7442 0.5000  4 Mo 2.18-2.33

## Properties
**Size of the total moment**: 11.1 μB/f.u.
**DOS at the Fermi energy**: 2.28 states/eV per cell
**ρ**: 5.61 g/cm3

Record 4
A plane-wave DFT calculation with PBE+U was carried out for crystalline Na2Mo2O7 at its relaxed geometry.

a = 5.9254 Å, b = 5.9254 Å, c = 5.6291 Å
α = 96.70°, β = 96.70°, γ = 111.05°
Last column: nearest neighbours and their distance in Å.
Element x y z (fractional)
Na1 0.1850 0.8150 0.0000  6 O 2.36-2.48
Na2 0.8150 0.1850 0.0000  6 O 2.36-2.48
Mo1 0.2486 0.2486 0.6088  4 O 1.77-1.91
Mo2 0.7514 0.7514 0.3912  4 O 1.77-1.91
O1 0.0707 0.0707 0.3082  1 Mo 1.86
O2 0.1238 0.4258 0.7847  1 Mo 1.77
O3 0.4258 0.1238 0.7847  1 Mo 1.77
O4 0.5000 0.5000 0.5000  2 Mo 1.91
O5 0.5742 0.8762 0.2153  1 Mo 1.77
O6 0.8762 0.5742 0.2153  1 Mo 1.77
O7 0.9293 0.9293 0.6918  1 Mo 1.86

## Properties
**Size of the total moment**: 0.0 μB/f.u.
**DOS at the Fermi energy**: 0.00 states/eV per cell
**ρ**: 3.22 g/cm3

Record 5
A plane-wave DFT calculation with PBE+U was carried out for crystalline Na3MoO at its relaxed geometry.

a = 4.8105 Å, b = 4.8105 Å, c = 4.8105 Å
α = 90.00°, β = 90.00°, γ = 90.00°
Last column: nearest neighbours and their distance in Å.
Element x y z (fractional)
Na1 0.0000 0.0000 0.5000  2 O 2.41
Na2 0.0000 0.5000 0.0000  2 O 2.41
Na3 0.5000 0.0000 0.0000  2 O 2.41
Mo1 0.5000 0.5000 0.5000  12 Na 3.40
O1 0.0000 0.0000 0.0000  6 Na 2.41

## Properties
**Size of the total moment**: 5.1 μB/f.u.
**DOS at the Fermi energy**: 0.48 states/eV per cell
**ρ**: 2.70 g/cm3

Record 6
A plane-wave DFT calculation with PBE+U was carried out for crystalline Na2MoO2 at its relaxed geometry.

a = 10.0835 Å, b = 9.1885 Å, c = 7.0698 Å
α = 75.41°, β = 61.87°, γ = 42.73°
Last column: nearest neighbours and their distance in Å.
Element x y z (fractional)
Na1 0.0291 0.3266 0.4831  3 O 2.26-2.43
Na2 0.3266 0.0291 0.6612  3 O 2.26-2.43
Na3 0.3388 0.5169 0.6734  3 O 2.26-2.43
Na4 0.4831 0.6612 0.0291  3 O 2.26-2.43
Na5 0.5169 0.3388 0.9709  3 O 2.26-2.43
Na6 0.6612 0.4831 0.3266  3 O 2.26-2.43
Na7 0.6734 0.9709 0.3388  3 O 2.26-2.43
Na8 0.9709 0.6734 0.5169  3 O 2.26-2.43
Mo1 0.0000 0.0000 0.0000  2 O 1.87
Mo2 0.0000 0.0000 0.5000  2 O 1.87
Mo3 0.0000 0.5000 0.0000  2 O 1.87
Mo4 0.5000 0.0000 0.0000  2 O 1.87
O1 0.0856 0.4066 0.7226  1 Mo 1.87
O2 0.2774 0.7149 0.9144  1 Mo 1.87
O3 0.2851 0.7226 0.4066  1 Mo 1.87
O4 0.4066 0.0856 0.2851  1 Mo 1.87
O5 0.5934 0.9144 0.7149  1 Mo 1.87
O6 0.7149 0.2774 0.5934  1 Mo 1.87
O7 0.7226 0.2851 0.0856  1 Mo 1.87
O8 0.9144 0.5934 0.2774  1 Mo 1.87

## Properties
**Size of the total moment**: 1.8 μB/f.u.
**DOS at the Fermi energy**: 2.75 states/eV per cell
**ρ**: 2.98 g/cm3

Record 7
A plane-wave DFT calculation with PBE+U was carried out for crystalline NaMo4O6 at its relaxed geometry.

a = 7.6423 Å, b = 7.6423 Å, c = 5.9029 Å
α = 90.00°, β = 90.00°, γ = 90.00°
Last column: nearest neighbours and their distance in Å.
Element x y z (fractional)
Na1 0.0000 0.0000 0.0000  4 Mo 2.88, 4 O 2.96
Na2 0.5000 0.5000 0.0000  4 Mo 2.88, 4 O 2.96
Mo1 0.1589 0.3411 0.0000  3 O 2.18-2.28
Mo2 0.2298 0.2702 0.5000  4 O 1.87-1.97
Mo3 0.2702 0.7702 0.5000  4 O 1.87-1.97
Mo4 0.3411 0.8411 0.0000  3 O 2.18-2.28
Mo5 0.6589 0.1589 0.0000  3 O 2.18-2.28
Mo6 0.7298 0.2298 0.5000  4 O 1.87-1.97
Mo7 0.7702 0.7298 0.5000  4 O 1.87-1.97
Mo8 0.8411 0.6589 0.0000  3 O 2.18-2.28
O1 0.0134 0.7531 0.5000  2 Mo 1.87-1.97
O2 0.1392 0.6392 0.0000  3 Mo 2.18-2.28
O3 0.2469 0.0134 0.5000  2 Mo 1.87-1.97
O4 0.2531 0.5134 0.5000  2 Mo 1.87-1.97
O5 0.3608 0.1392 0.0000  3 Mo 2.18-2.28
O6 0.4866 0.2531 0.5000  2 Mo 1.87-1.97
O7 0.5134 0.7469 0.5000  2 Mo 1.87-1.97
O8 0.6392 0.8608 0.0000  3 Mo 2.18-2.28
O9 0.7469 0.4866 0.5000  2 Mo 1.87-1.97
O10 0.7531 0.9866 0.5000  2 Mo 1.87-1.97
O11 0.8608 0.3608 0.0000  3 Mo 2.18-2.28
O12 0.9866 0.2469 0.5000  2 Mo 1.87-1.97

## Properties
**Size of the total moment**: 9.0 μB/f.u.
**DOS at the Fermi energy**: 3.47 states/eV per cell
**ρ**: 4.84 g/cm3

Record 8
A plane-wave DFT calculation with PBE+U was carried out for crystalline Na2Mo2O7 at its relaxed geometry.

a = 7.0553 Å, b = 7.0553 Å, c = 15.0603 Å
α = 90.00°, β = 90.00°, γ = 117.55°
Last column: nearest neighbours and their distance in Å.
Element x y z (fractional)
Na1 0.1771 0.8229 0.8467  6 O 2.40-2.60
Na2 0.2484 0.2484 0.0000  6 O 2.41-2.48
Na3 0.2516 0.2516 0.5000  6 O 2.41-2.48
Na4 0.3229 0.6771 0.3467  6 O 2.40-2.60
Na5 0.6771 0.3229 0.6533  6 O 2.40-2.60
Na6 0.7484 0.7484 0.5000  6 O 2.41-2.48
Na7 0.7516 0.7516 0.0000  6 O 2.41-2.48
Na8 0.8229 0.1771 0.1533  6 O 2.40-2.60
Mo1 0.1653 0.3347 0.7500  4 O 1.76-1.95
Mo2 0.2470 0.7530 0.0857  4 O 1.77-1.82
Mo3 0.2530 0.7470 0.5857  4 O 1.77-1.82
Mo4 0.3347 0.1653 0.2500  4 O 1.76-1.95
Mo5 0.6653 0.8347 0.7500  4 O 1.76-1.95
Mo6 0.7470 0.2530 0.4143  4 O 1.77-1.82
Mo7 0.7530 0.2470 0.9143  4 O 1.77-1.82
Mo8 0.8347 0.6653 0.2500  4 O 1.76-1.95
O1 0.0308 0.5660 0.1556  1 Mo 1.82
O2 0.0660 0.5308 0.6556  1 Mo 1.82
O3 0.1229 0.8771 0.2823  2 Mo 1.95
O4 0.1232 0.8768 0.5314  1 Mo 1.77
O5 0.1402 0.8598 0.0030  1 Mo 1.79
O6 0.1935 0.2063 0.1625  1 Mo 1.76
O7 0.2063 0.1935 0.8375  1 Mo 1.76
O8 0.2937 0.3065 0.3375  1 Mo 1.76
O9 0.3065 0.2937 0.6625  1 Mo 1.76
O10 0.3598 0.6402 0.5030  1 Mo 1.79
O11 0.3768 0.6232 0.0314  1 Mo 1.77
O12 0.3771 0.6229 0.7823  2 Mo 1.95
O13 0.4340 0.9692 0.1556  1 Mo 1.82
O14 0.4692 0.9340 0.6556  1 Mo 1.82
O15 0.5308 0.0660 0.3444  1 Mo 1.82
O16 0.5660 0.0308 0.8444  1 Mo 1.82
O17 0.6229 0.3771 0.2177  2 Mo 1.95
O18 0.6232 0.3768 0.9686  1 Mo 1.77
O19 0.6402 0.3598 0.4970  1 Mo 1.79
O20 0.6935 0.7063 0.3375  1 Mo 1.76
O21 0.7063 0.6935 0.6625  1 Mo 1.76
O22 0.7937 0.8065 0.1625  1 Mo 1.76
O23 0.8065 0.7937 0.8375  1 Mo 1.76
O24 0.8598 0.1402 0.9970  1 Mo 1.79
O25 0.8768 0.1232 0.4686  1 Mo 1.77
O26 0.8771 0.1229 0.7177  2 Mo 1.95
O27 0.9340 0.4692 0.3444  1 Mo 1.82
O28 0.9692 0.4340 0.8444  1 Mo 1.82

## Properties
**Size of the total moment**: 0.0 μB/f.u.
**DOS at the Fermi energy**: 0.00 states/eV per cell
**ρ**: 3.50 g/cm3

| no. | raw total energy (eV per atom) |
| --- | --- |
| 1 | -2.131 |
| 2 | -6.244 |
| 3 | -6.348 |
| 4 | -6.432 |
| 5 | -3.272 |
| 6 | -4.823 |
| 7 | -6.100 |
| 8 | -6.449 |